No. 1
{
  "formula": "LiThCoPb",
  "functional": "PBE",
  "state": "optimized geometry",
  "lattice": [[6.780, 0.000, 0.000], [0.000, 6.780, 0.000], [0.000, 0.000, 6.780]],
  "species": ["Li", "Li", "Li", "Li", "Th", "Th", "Th", "Th", "Co", "Co", "Co", "Co", "Pb", "Pb", "Pb", "Pb"],
  "fractional_positions": [[0.000, 0.000, 0.000], [0.000, 0.500, 0.500], [0.500, 0.000, 0.500], [0.500, 0.500, 0.000], [0.250, 0.250, 0.250], [0.250, 0.750, 0.750], [0.750, 0.250, 0.750], [0.750, 0.750, 0.250], [0.000, 0.000, 0.500], [0.000, 0.500, 0.000], [0.500, 0.000, 0.000], [0.500, 0.500, 0.500], [0.250, 0.250, 0.750], [0.250, 0.750, 0.250], [0.750, 0.250, 0.250], [0.750, 0.750, 0.750]],
  "sg": "F-43m (216)",
  "m_tot_mub_per_atom": 0.00,
  "total_energy_ev_per_atom": -5.246,
  "formation_energy_ev_per_atom": -0.21
}

---

No. 2
{
  "formula": "LiCoPb2W",
  "functional": "PBE",
  "state": "optimized geometry",
  "lattice": [[4.967, 0.000, 0.000], [0.000, 4.967, 0.000], [0.000, 0.000, 4.421]],
  "species": ["Li", "Co", "Pb", "Pb", "W"],
  "fractional_positions": [[0.000, 0.000, 0.000], [0.000, 0.000, 0.500], [0.000, 0.500, 0.500], [0.500, 0.000, 0.500], [0.500, 0.500, 0.000]],
  "sg": "P4/mmm (123)",
  "m_tot_mub_per_atom": 0.79,
  "total_energy_ev_per_atom": -4.713,
  "formation_energy_ev_per_atom": 1.17
}

---

No. 3
{
  "formula": "LiZrCoPb",
  "functional": "PBE",
  "state": "optimized geometry",
  "lattice": [[6.398, 0.000, 0.000], [0.000, 6.398, 0.000], [0.000, 0.000, 6.398]],
  "species": ["Li", "Li", "Li", "Li", "Zr", "Zr", "Zr", "Zr", "Co", "Co", "Co", "Co", "Pb", "Pb", "Pb", "Pb"],
  "fractional_positions": [[0.000, 0.000, 0.000], [0.000, 0.500, 0.500], [0.500, 0.000, 0.500], [0.500, 0.500, 0.000], [0.250, 0.250, 0.250], [0.250, 0.750, 0.750], [0.750, 0.250, 0.750], [0.750, 0.750, 0.250], [0.000, 0.000, 0.500], [0.000, 0.500, 0.000], [0.500, 0.000, 0.000], [0.500, 0.500, 0.500], [0.250, 0.250, 0.750], [0.250, 0.750, 0.250], [0.750, 0.250, 0.250], [0.750, 0.750, 0.750]],
  "sg": "F-43m (216)",
  "m_tot_mub_per_atom": 0.00,
  "total_energy_ev_per_atom": -5.562,
  "formation_energy_ev_per_atom": -0.24
}

---

No. 4
{
  "formula": "LiCoPd",
  "functional": "PBE",
  "state": "optimized geometry",
  "lattice": [[12.964, 0.000, 0.000], [0.000, 2.683, 0.000], [0.000, 0.000, 4.645]],
  "species": ["Li", "Li", "Li", "Li", "Co", "Co", "Co", "Co", "Pd", "Pd", "Pd", "Pd"],
  "fractional_positions": [[0.000, 0.000, 0.000], [0.000, 0.500, 0.500], [0.500, 0.000, 0.335], [0.500, 0.500, 0.835], [0.168, 0.000, 0.335], [0.168, 0.500, 0.835], [0.832, 0.000, 0.335], [0.832, 0.500, 0.835], [0.334, 0.000, 0.668], [0.334, 0.500, 0.168], [0.666, 0.000, 0.668], [0.666, 0.500, 0.168]],
  "sg": "Amm2 (38)",
  "m_tot_mub_per_atom": 0.63,
  "total_energy_ev_per_atom": -4.705,
  "formation_energy_ev_per_atom": 0.03
}

---

No. 5
{
  "formula": "Li3CoPd",
  "functional": "PBE",
  "state": "optimized geometry",
  "lattice": [[4.388, 0.000, 0.000], [0.000, 4.388, 0.000], [0.000, 0.000, 4.388]],
  "species": ["Li", "Li", "Li", "Co", "Pd"],
  "fractional_positions": [[0.000, 0.000, 0.500], [0.000, 0.500, 0.000], [0.500, 0.000, 0.000], [0.000, 0.000, 0.000], [0.500, 0.500, 0.500]],
  "sg": "Pm-3m (221)",
  "m_tot_mub_per_atom": 0.30,
  "total_energy_ev_per_atom": -2.969,
  "formation_energy_ev_per_atom": 0.64
}

---

No. 6
{
  "formula": "LiCo3Pd",
  "functional": "PBE",
  "state": "optimized geometry",
  "lattice": [[3.934, 0.000, 0.000], [0.000, 3.934, 0.000], [0.000, 0.000, 3.934]],
  "species": ["Li", "Co", "Co", "Co", "Pd"],
  "fractional_positions": [[0.000, 0.000, 0.000], [0.000, 0.000, 0.500], [0.000, 0.500, 0.000], [0.500, 0.000, 0.000], [0.500, 0.500, 0.500]],
  "sg": "Pm-3m (221)",
  "m_tot_mub_per_atom": 1.03,
  "total_energy_ev_per_atom": -4.856,
  "e_above_lowest_polymorph_ev_per_fu": 0.00,
  "formation_energy_ev_per_atom": 0.83
}

---

No. 7
{
  "formula": "Li4CoPd5",
  "functional": "PBE",
  "state": "optimized geometry",
  "lattice": [[2.946, 0.000, 0.000], [0.000, 2.946, 0.000], [0.000, 0.000, 15.368]],
  "species": ["Li", "Li", "Li", "Li", "Co", "Pd", "Pd", "Pd", "Pd", "Pd"],
  "fractional_positions": [[0.000, 0.000, 0.098], [0.000, 0.000, 0.295], [0.000, 0.000, 0.705], [0.000, 0.000, 0.902], [0.000, 0.000, 0.500], [0.500, 0.500, 0.000], [0.500, 0.500, 0.198], [0.500, 0.500, 0.398], [0.500, 0.500, 0.602], [0.500, 0.500, 0.802]],
  "sg": "P4/mmm (123)",
  "m_tot_mub_per_atom": 0.26,
  "total_energy_ev_per_atom": -4.380,
  "formation_energy_ev_per_atom": -0.31
}

---

No. 8
{
  "formula": "LiCoPd3",
  "functional": "PBE",
  "state": "optimized geometry",
  "lattice": [[4.611, 0.000, 0.000], [0.000, 4.611, 0.000], [0.000, 0.000, 4.611]],
  "species": ["Li", "Co", "Pd", "Pd", "Pd"],
  "fractional_positions": [[0.000, 0.000, 0.000], [0.500, 0.500, 0.500], [0.000, 0.500, 0.500], [0.500, 0.000, 0.500], [0.500, 0.500, 0.000]],
  "sg": "Pm-3m (221)",
  "m_tot_mub_per_atom": 0.62,
  "total_energy_ev_per_atom": -4.418,
  "e_above_lowest_polymorph_ev_per_fu": 0.00,
  "formation_energy_ev_per_atom": 0.50
}